Entry 1:
Below is a relaxed structure of NaMgNF2, with properties calculated at the PBE level.

a = 4.0158 Å, b = 4.0158 Å, c = 4.3741 Å
α = 90.00°, β = 90.00°, γ = 90.00°
Closest atoms and distances in Å follow each position.
Fractional positions:
N 0.0000 0.0000 0.5000  2 Na 2.19
Mg 0.5000 0.5000 0.5000  4 N 2.84, 8 F 2.97
Na 0.0000 0.0000 0.0000  4 F 2.01, 2 N 2.19
F 0.0000 0.5000 0.0000  2 Na 2.01
F 0.5000 0.0000 0.0000  2 Na 2.01

Summary:
E_form (uncorrected) = -0.708 eV per atom



Entry 2:
Below is a relaxed structure of AlTeMo4, with properties calculated at the PBE level.

a = 5.3260 Å, b = 5.3260 Å, c = 5.3260 Å
α = 60.00°, β = 60.00°, γ = 60.00°
Closest atoms and distances in Å follow each position.
Fractional positions:
Te 0.7500 0.7500 0.7500  12 Mo 3.12, 4 Al 3.26
Mo 0.3747 0.3747 0.3747  6 Mo 2.66-2.67
Mo 0.3747 0.8758 0.3747  6 Mo 2.66-2.67
Mo 0.8758 0.3747 0.3747  6 Mo 2.66-2.67
Mo 0.3747 0.3747 0.8758  6 Mo 2.66-2.67
Al 0.0000 0.0000 0.0000  12 Mo 3.12, 4 Te 3.26

Summary:
E_form (uncorrected) = 0.438 eV per atom



Entry 3:
Below is a relaxed structure of RbFePb3, with properties calculated at the PBE level.

a = 6.1298 Å, b = 6.1298 Å, c = 6.1298 Å
α = 90.00°, β = 90.00°, γ = 90.00°
Closest atoms and distances in Å follow each position.
Fractional positions:
Pb 0.5000 0.0000 0.0000  2 Rb 3.06
Pb 0.0000 0.5000 0.0000  2 Rb 3.06
Pb 0.0000 0.0000 0.5000  2 Rb 3.06
Rb 0.0000 0.0000 0.0000  6 Pb 3.06
Fe 0.5000 0.5000 0.5000  12 Pb 4.33

Summary:
formation energy from the elements = 1.757 eV/atom



Entry 4:
Below is a relaxed structure of Tb12Pm3Ho, with properties calculated at the PBE level.

a = 5.0555 Å, b = 5.0555 Å, c = 20.2141 Å
α = 90.00°, β = 90.00°, γ = 90.00°
Closest atoms and distances in Å follow each position.
Fractional positions:
Tb 0.5000 0.0000 0.8765  2 Ho 3.55, 8 Tb 3.55-3.58, 2 Pm 3.58
Tb 0.5000 0.5000 0.7513  4 Pm 3.57, 8 Tb 3.58
Tb 0.5000 0.0000 0.3744  8 Tb 3.57-3.58, 4 Pm 3.58
Tb 0.5000 0.5000 0.5000  4 Pm 3.57, 8 Tb 3.58
Tb 0.5000 0.0000 0.6256  8 Tb 3.57-3.58, 4 Pm 3.58
Tb 0.0000 0.5000 0.1235  8 Tb 3.55-3.58, 2 Ho 3.55, 2 Pm 3.58
Tb 0.0000 0.5000 0.8765  8 Tb 3.55-3.58, 2 Ho 3.55, 2 Pm 3.58
Tb 0.5000 0.5000 0.0000  8 Tb 3.55, 4 Ho 3.57
Tb 0.5000 0.5000 0.2487  4 Pm 3.57, 8 Tb 3.58
Tb 0.0000 0.5000 0.6256  8 Tb 3.57-3.58, 4 Pm 3.58
Tb 0.5000 0.0000 0.1235  2 Ho 3.55, 8 Tb 3.55-3.58, 2 Pm 3.58
Tb 0.0000 0.5000 0.3744  8 Tb 3.57-3.58, 4 Pm 3.58
Pm 0.0000 0.0000 0.2491  12 Tb 3.57-3.58
Pm 0.0000 0.0000 0.7509  12 Tb 3.57-3.58
Pm 0.0000 0.0000 0.5000  12 Tb 3.57-3.58
Ho 0.0000 0.0000 0.0000  12 Tb 3.55-3.57

Summary:
formation energy from the elements = 0.017 eV/atom



Entry 5:
Below is a relaxed structure of CsTmCu2Br8, with properties calculated at the PBE level.

a = 6.6063 Å, b = 6.6063 Å, c = 10.7207 Å
α = 86.57°, β = 86.57°, γ = 71.88°
Closest atoms and distances in Å follow each position.
Fractional positions:
Cu 0.3681 0.3681 0.7930  4 Br 2.32-2.51
Cu 0.6319 0.6319 0.2070  4 Br 2.32-2.51
Br 0.2344 0.7544 0.1936  1 Cu 2.51, 1 Tm 2.79
Br 0.6653 0.6653 0.4185  1 Cu 2.32
Br 0.7544 0.2344 0.1936  1 Cu 2.51, 1 Tm 2.79
Br 0.2596 0.2596 0.9951  1 Cu 2.38
Br 0.2456 0.7656 0.8064  1 Cu 2.51, 1 Tm 2.79
Br 0.3347 0.3347 0.5815  1 Cu 2.32
Br 0.7656 0.2456 0.8064  1 Cu 2.51, 1 Tm 2.79
Br 0.7404 0.7404 0.0049  1 Cu 2.38
Tm 0.0000 0.0000 0.0000  6 Br 2.77-2.79
Cs 0.0000 0.0000 0.5000  6 Br 3.75-3.78

Summary:
E_form (uncorrected) = -1.004 eV per atom



Entry 6:
Below is a relaxed structure of Tb6Rh2Pb, with properties calculated at the PBE level.

a = 8.5846 Å, b = 8.5846 Å, c = 8.5846 Å
α = 105.01°, β = 110.33°, γ = 113.17°
Closest atoms and distances in Å follow each position.
Fractional positions:
Tb 0.8897 0.7086 0.1811  3 Rh 3.00-3.16, 1 Pb 3.28
Tb 0.3088 0.9791 0.6703  3 Rh 2.73-2.99
Tb 0.6912 0.0209 0.3297  3 Rh 2.73-2.99
Tb 0.3088 0.6385 0.3297  3 Rh 2.73-2.99
Tb 0.2063 0.7647 0.9710  1 Rh 2.78
Tb 0.7937 0.2353 0.0290  1 Rh 2.78
Tb 0.5275 0.7086 0.8189  3 Rh 3.00-3.16, 1 Pb 3.28
Tb 0.6912 0.3615 0.6703  3 Rh 2.73-2.99
Tb 0.4725 0.2914 0.1811  3 Rh 3.00-3.16, 1 Pb 3.28
Tb 0.7937 0.7647 0.5585  1 Rh 2.78
Tb 0.2063 0.2353 0.4415  1 Rh 2.78
Tb 0.1103 0.2914 0.8189  3 Rh 3.00-3.16, 1 Pb 3.28
Rh 0.5000 0.6335 0.1335  6 Tb 2.73-3.00, 1 Rh 2.79
Rh 0.3379 0.0000 0.3379  6 Tb 2.78-2.99
Rh 0.5000 0.3665 0.8665  6 Tb 2.73-3.00, 1 Rh 2.79
Rh 0.6621 0.0000 0.6621  6 Tb 2.78-2.99
Pb 0.0000 0.0000 0.0000  8 Tb 3.18-3.28, 2 Rh 3.31
Pb 0.0000 0.5000 0.5000  12 Tb 3.42-3.70

Summary:
formation energy from the elements = -0.573 eV/atom



Entry 7:
Below is a relaxed structure of Li6Pr3Au5, with properties calculated at the PBE level.

a = 4.1877 Å, b = 10.4636 Å, c = 13.2845 Å
α = 90.00°, β = 90.00°, γ = 90.00°
Closest atoms and distances in Å follow each position.
Fractional positions:
Au 0.0000 0.8453 0.6507  4 Li 2.70-2.87
Au 0.5000 0.2001 0.5000  6 Li 2.80-3.14, 2 Au 3.05
Au 0.5000 0.1547 0.1507  4 Li 2.70-2.87
Au 0.5000 0.4505 0.6169  5 Li 2.62-2.65
Au 0.0000 0.7999 0.0000  6 Li 2.80-3.14, 2 Au 3.05
Au 0.0000 0.5495 0.8831  5 Li 2.62-2.65
Au 0.5000 0.1547 0.8493  4 Li 2.70-2.87
Au 0.0000 0.5495 0.1169  5 Li 2.62-2.65
Au 0.5000 0.4505 0.3831  5 Li 2.62-2.65
Au 0.0000 0.8453 0.3493  4 Li 2.70-2.87
Pr 0.0000 0.2457 0.6925  6 Au 3.10-3.34, 8 Li 3.16-3.47
Pr 0.0000 0.2837 0.0000  6 Au 3.19-3.20, 4 Li 3.55
Pr 0.0000 0.2457 0.3075  6 Au 3.10-3.34, 8 Li 3.16-3.47
Pr 0.5000 0.7543 0.1925  6 Au 3.10-3.34, 8 Li 3.16-3.47
Pr 0.5000 0.7163 0.5000  6 Au 3.19-3.20, 4 Li 3.55
Pr 0.5000 0.7543 0.8075  6 Au 3.10-3.34, 8 Li 3.16-3.47
Li 0.5000 0.0085 0.3492  3 Au 2.70-2.83, 2 Li 2.90
Li 0.0000 0.0217 0.5000  4 Au 2.72-2.80, 4 Li 2.90
Li 0.0000 0.9915 0.8492  3 Au 2.70-2.83, 2 Li 2.90
Li 0.0000 0.4237 0.5000  4 Au 2.62, 2 Li 2.92
Li 0.0000 0.5748 0.3156  4 Au 2.62-2.87, 1 Li 2.92
Li 0.5000 0.0085 0.6508  3 Au 2.70-2.83, 2 Li 2.90
Li 0.5000 0.4252 0.8156  4 Au 2.62-2.87, 1 Li 2.92
Li 0.0000 0.9915 0.1508  3 Au 2.70-2.83, 2 Li 2.90
Li 0.0000 0.5748 0.6844  4 Au 2.62-2.87, 1 Li 2.92
Li 0.5000 0.9783 0.0000  4 Au 2.72-2.80, 4 Li 2.90
Li 0.5000 0.4252 0.1844  4 Au 2.62-2.87, 1 Li 2.92
Li 0.5000 0.5763 0.0000  4 Au 2.62, 2 Li 2.92

Summary:
formation energy from the elements = -0.529 eV/atom



Entry 8:
Below is a relaxed structure of K3Tl3Cd2, with properties calculated at the PBE level.

a = 5.7236 Å, b = 6.6166 Å, c = 16.7634 Å
α = 90.00°, β = 90.00°, γ = 115.63°
Closest atoms and distances in Å follow each position.
Fractional positions:
Cd 0.2052 0.4105 0.1628  1 Cd 2.92, 1 Tl 3.11
Cd 0.7948 0.5895 0.8372  1 Cd 2.92, 1 Tl 3.11
Cd 0.2052 0.4105 0.3372  1 Cd 2.92, 1 Tl 3.11
Cd 0.7948 0.5895 0.6628  1 Cd 2.92, 1 Tl 3.11
K 0.6597 0.3194 0.4637  3 Cd 3.60-3.71, 6 Tl 3.76-3.94, 3 K 3.78-4.00
K 0.5078 0.0157 0.7500  7 Tl 3.65-3.92, 2 Cd 3.72
K 0.6597 0.3194 0.0363  3 Cd 3.60-3.71, 6 Tl 3.76-3.94, 3 K 3.78-4.00
K 0.4922 0.9843 0.2500  7 Tl 3.65-3.92, 2 Cd 3.72
K 0.3403 0.6806 0.9637  3 Cd 3.60-3.71, 6 Tl 3.76-3.94, 3 K 3.78-4.00
K 0.3403 0.6806 0.5363  3 Cd 3.60-3.71, 6 Tl 3.76-3.94, 3 K 3.78-4.00
Tl 0.7982 0.5964 0.2500  2 Tl 3.33, 4 Cd 3.40, 3 K 3.65-3.68
Tl 0.9652 0.9305 0.0910  1 Cd 3.11, 2 Tl 3.16-3.33
Tl 0.0348 0.0695 0.5910  1 Cd 3.11, 2 Tl 3.16-3.33
Tl 0.0348 0.0695 0.9090  1 Cd 3.11, 2 Tl 3.16-3.33
Tl 0.2018 0.4036 0.7500  2 Tl 3.33, 4 Cd 3.40, 3 K 3.65-3.68
Tl 0.9652 0.9305 0.4090  1 Cd 3.11, 2 Tl 3.16-3.33

Summary:
formation energy from the elements = -0.058 eV/atom



Entry 9:
Below is a relaxed structure of Ho3Mg2In2, with properties calculated at the PBE level.

a = 4.8775 Å, b = 3.6196 Å, c = 10.8849 Å
α = 99.57°, β = 102.95°, γ = 90.00°
Closest atoms and distances in Å follow each position.
Fractional positions:
Mg 0.4318 0.4318 0.8635  1 Mg 2.85, 2 In 2.90
Mg 0.5682 0.5682 0.1365  1 Mg 2.85, 2 In 2.90
Ho 0.2966 0.7966 0.5931  5 In 3.20-3.28, 2 Mg 3.36
Ho 0.7034 0.2034 0.4069  5 In 3.20-3.28, 2 Mg 3.36
Ho 0.0000 0.0000 0.0000  8 Mg 3.36, 4 In 3.51, 2 Ho 3.62
In 0.8563 0.3563 0.7126  2 Mg 2.90, 1 Ho 3.20
In 0.1437 0.6437 0.2874  2 Mg 2.90, 1 Ho 3.20

Summary:
formation energy from the elements = -0.280 eV/atom



Entry 10:
Below is a relaxed structure of CoIr2Au, with properties calculated at the PBE level.

a = 2.7253 Å, b = 2.7253 Å, c = 9.2958 Å
α = 90.00°, β = 90.00°, γ = 119.31°
Closest atoms and distances in Å follow each position.
Fractional positions:
Au 0.5000 0.5000 0.2500  6 Au 2.73-2.75, 4 Ir 2.90
Co 0.5000 0.5000 0.7500  4 Ir 2.51, 6 Co 2.73-2.75
Ir 0.0000 0.0000 0.5241  2 Co 2.51, 6 Ir 2.73-2.75
Ir 0.0000 0.0000 0.9759  2 Co 2.51, 6 Ir 2.73-2.75

Summary:
formation energy from the elements = 0.340 eV/atom



Entry 11:
Below is a relaxed structure of FeSi2Mo, with properties calculated at the PBE level.

a = 4.7053 Å, b = 4.7053 Å, c = 2.7096 Å
α = 78.73°, β = 78.73°, γ = 109.34°
Closest atoms and distances in Å follow each position.
Fractional positions:
Mo 0.0000 0.5000 0.5000  4 Si 2.47, 2 Mo 2.71, 2 Fe 2.72
Si 0.5000 0.5000 0.0000  2 Fe 2.47, 2 Mo 2.47, 4 Si 2.71-2.72
Si 0.0000 0.0000 0.0000  2 Mo 2.47, 2 Fe 2.47, 4 Si 2.71-2.72
Fe 0.5000 0.0000 0.5000  4 Si 2.47, 2 Fe 2.71, 2 Mo 2.72

Summary:
E_form (uncorrected) = -0.047 eV per atom



Entry 12:
Below is a relaxed structure of NaYZr, with properties calculated at the PBE level.

a = 5.2861 Å, b = 5.2861 Å, c = 7.0161 Å
α = 90.00°, β = 90.00°, γ = 120.00°
Closest atoms and distances in Å follow each position.
Fractional positions:
Na 0.0000 0.0000 0.8869  3 Na 3.05, 1 Y 3.38
Na 0.3333 0.6667 0.8871  3 Na 3.05, 1 Zr 3.36
Zr 0.6667 0.3333 0.1697  4 Y 3.03-3.36, 3 Zr 3.35
Zr 0.3333 0.6667 0.3657  3 Y 3.05, 3 Zr 3.35, 1 Na 3.36
Y 0.6667 0.3333 0.6015  1 Zr 3.03
Y 0.0000 0.0000 0.3683  6 Zr 3.05-3.36, 1 Na 3.38

Summary:
formation energy from the elements = 0.319 eV/atom



no.,total magnetization (μB/atom)
1,0.40
2,0.00
3,0.64
4,0.00
5,0.18
6,0.00
7,0.00
8,0.00
9,0.00
10,0.75
11,0.44
12,0.05